Entry 1:
Material: SiPt2PbW
Method: DFT, PBEsol
State: optimized geometry

Formation energy without anion corrections in eV per atom: 0.791
Density in g/cm3: 11.99
SG: P4/mmm (123)

```
SiPt2PbW
1.0
4.876 0.000 0.000
0.000 4.876 0.000
0.000 0.000 4.712
Si Pt Pb W
1 2 1 1
Cartesian
0.000 0.000 0.000
0.000 2.438 2.356
2.438 0.000 2.356
2.438 2.438 0.000
0.000 0.000 2.356
```



Entry 2:
Material: Sr4PtPb
Method: DFT, PBEsol
State: optimized geometry

Density in g/cm3: 6.47
SG: F-43m (216)
Formation enthalpy at 0 K in eV/f.u.: 2.7

```
Sr4PtPb
1.0
0.000 4.587 4.587
4.587 0.000 4.587
4.587 4.587 0.000
Sr Pt Pb
4 1 1
Cartesian
1.143 1.143 1.143
3.444 3.444 1.143
3.444 1.143 3.444
1.143 3.444 3.444
6.881 6.881 6.881
4.587 4.587 4.587
```



Entry 3:
Material: SrPt3Pb
Method: DFT, PBEsol
State: optimized geometry

Density in g/cm3: 11.29
SG: Pm-3m (221)
Formation enthalpy at 0 K in eV/f.u.: 1.8

```
SrPt3Pb
1.0
5.058 0.000 0.000
0.000 5.058 0.000
0.000 0.000 5.058
Sr Pt Pb
1 3 1
Cartesian
0.000 0.000 0.000
0.000 2.529 2.529
2.529 0.000 2.529
2.529 2.529 0.000
2.529 2.529 2.529
```



Entry 4:
Material: SrPtPb2
Method: DFT, PBEsol
State: optimized geometry

Density in g/cm3: 10.17
SG: Cmmm (65)
Formation enthalpy at 0 K in eV/f.u.: -1.8

```
SrPtPb2
1.0
2.971 -4.199 0.000
2.971 4.199 0.000
0.000 0.000 4.562
Sr Pt Pb
1 1 2
Cartesian
0.000 0.000 0.000
2.971 0.000 0.000
2.971 1.561 2.281
2.971 -1.561 2.281
```



Entry 5:
Material: SrPt4Pb
Method: DFT, PBEsol
State: optimized geometry

Density in g/cm3: 15.75
SG: F-43m (216)
Formation enthalpy at 0 K in eV/f.u.: -3.2

```
SrPt4Pb
1.0
0.000 3.842 3.842
3.842 0.000 3.842
3.842 3.842 0.000
Sr Pt Pb
1 4 1
Cartesian
0.000 0.000 0.000
4.800 2.883 2.883
2.883 4.800 2.883
2.883 2.883 4.800
4.800 4.800 4.800
1.921 1.921 1.921
```



Entry 6:
Material: SrPtPb2
Method: DFT, PBEsol
State: optimized geometry

Density in g/cm3: 10.54
SG: Fmmm (69)
Formation enthalpy at 0 K in eV/f.u.: -0.5

```
SrPtPb2
1.0
0.000 3.133 5.700
3.075 0.000 5.700
3.075 3.133 0.000
Sr Pt Pb
1 1 2
Cartesian
0.000 0.000 0.000
3.075 3.133 5.700
3.075 1.567 2.850
0.000 1.567 2.850
```



Entry 7:
Material: SrPtPb2
Method: DFT, PBEsol
State: optimized geometry

Density in g/cm3: 11.55
SG: I-4m2 (119)
Formation enthalpy at 0 K in eV/f.u.: -1.0

```
SrPtPb2
1.0
-2.361 2.361 4.495
2.361 -2.361 4.495
2.361 2.361 -4.495
Sr Pt Pb
1 1 2
Cartesian
0.000 0.000 0.000
2.361 0.000 2.247
0.000 0.000 4.495
0.000 2.361 2.247
```



Entry 8:
Material: SrPt2Pb2
Method: DFT, PBEsol
State: optimized geometry

Density in g/cm3: 12.05
SG: I4/mmm (139)
Formation enthalpy at 0 K in eV/f.u.: -2.1

```
SrPt2Pb2
1.0
-2.319 2.319 5.717
2.319 -2.319 5.717
2.319 2.319 -5.717
Sr Pt Pb
1 2 2
Cartesian
0.000 0.000 0.000
0.000 0.000 4.426
0.000 0.000 7.008
2.319 0.000 2.859
0.000 2.319 2.859
```



Question: Among the records above, which one has the highest density?
Answer: SrPt4Pb



Question: Number 7 is which compound?
Answer: SrPtPb2